The following is a DFT calculation (PBE) of an optimized crystal structure of Ca2AlS.

The structure belongs to space group Fm-3m (No. 225); the cell edges are 7.3547, 7.3547 and 7.3547 Å and the angles 90.00°, 90.00° and 90.00°. The distinct sites, in fractional coordinates, are Ca at (0.2500, 0.2500, 0.2500), Al at (0.0000, 0.0000, 0.0000) and S at (0.0000, 0.0000, 0.5000).

For the offset from the most stable computed form, the calculation gives 200 meV/atom. The value obtained for the energy relative to the elements, uncorrected is -0.48 eV per atom.


The following is a DFT calculation (PBE) of an optimized crystal structure of Y8IrPt5.

The structure belongs to space group I-4 (No. 82); the cell edges are 8.7231, 8.7231 and 8.7471 Å and the angles 90.00°, 90.00° and 90.00°. The distinct sites, in fractional coordinates, are Y at (0.0625, 0.1901, 0.1885), Y at (0.0639, 0.3153, 0.5570), Ir at (0.0000, 0.5000, 0.2500), Pt at (0.0000, 0.0000, 0.5000) and Pt at (0.1239, 0.2517, 0.8732).

For the formation energy from the elements, the calculation gives -1.036 eV per atom.


The following is a DFT calculation (PBE) of an optimized crystal structure of OsRhSeN2.

The structure belongs to space group P4/mmm (No. 123); the cell edges are 3.7410, 3.7410 and 5.5915 Å and the angles 90.00°, 90.00° and 90.00°. The distinct sites, in fractional coordinates, are Os at (0.0000, 0.0000, 0.0000), Rh at (0.5000, 0.5000, 0.5000), Se at (0.0000, 0.0000, 0.5000) and N at (0.0000, 0.5000, 0.0000).

For the offset from the most stable computed form, the calculation gives 0 meV/atom. The value obtained for the energy relative to the elements, uncorrected is 0.82 eV per atom.


The following is a DFT calculation (PBE) of an optimized crystal structure of NaCa2ReAg.

The structure belongs to space group P4/mmm (No. 123); the cell edges are 5.5095, 5.5095 and 4.9338 Å and the angles 90.00°, 90.00° and 90.00°. The distinct sites, in fractional coordinates, are Na at (0.0000, 0.0000, 0.0000), Ca at (0.0000, 0.5000, 0.0000), Re at (0.0000, 0.0000, 0.5000) and Ag at (0.5000, 0.5000, 0.5000).

For the formation energy from the elements, the calculation gives 1.448 eV per atom.


The following is a DFT calculation (PBE) of an optimized crystal structure of PuScCu2Ge2.

The structure belongs to space group P-3m1 (No. 164); the cell edges are 4.2230, 4.2230 and 7.0397 Å and the angles 90.00°, 90.00° and 120.00°. The distinct sites, in fractional coordinates, are Pu at (0.0000, 0.0000, 0.0000), Sc at (0.0000, 0.0000, 0.5000), Cu at (0.3333, 0.6667, 0.6978) and Ge at (0.3333, 0.6667, 0.2643).

For the formation energy from the elements, the calculation gives -0.487 eV per atom.


The following is a DFT calculation (PBE) of an optimized crystal structure of TbNdY2Ho2.

The structure belongs to space group Pnnm (No. 58); the cell edges are 6.5463, 17.8483 and 3.4081 Å and the angles 90.00°, 90.00° and 90.00°. The distinct sites, in fractional coordinates, are Tb at (0.0000, 0.0000, 0.0000), Nd at (0.0000, 0.5000, 0.0000), Y at (0.2226, 0.3136, 0.0000) and Ho at (0.2205, 0.1473, 0.5000).

For the formation energy from the elements, the calculation gives 0.268 eV per atom.


Values of electronic total energy, in order: -3.452, -7.520, -6.925, -2.676, -6.835, -4.979, all in eV per atom.